Entry 1:
VNi after structural relaxation. Source: Alexandria, functional GGA-PBE.

Summary:
Space-group type: No. 70

```
8
Lattice="0.000 3.491 4.529 3.304 0.000 4.529 3.304 3.491 0.000" Properties=species:S:1:pos:R:3 pbc="T T T"
V 2.478 0.385 3.396
V 4.130 2.130 5.661
V 2.478 4.851 3.396
V 4.130 6.596 5.661
Ni 3.629 2.618 3.396
Ni 5.281 4.363 5.661
Ni 1.327 2.618 3.396
Ni 2.978 4.363 5.661
```

***

Entry 2:
V2Ni after structural relaxation. Source: Alexandria, functional GGA-PBE.

Summary:
Space-group type: No. 69

```
12
Lattice="3.259 0.000 0.000 0.000 3.874 0.000 0.000 0.000 11.811" Properties=species:S:1:pos:R:3 pbc="T T T"
V 0.000 0.000 1.915
V 0.000 0.000 9.896
V 0.000 1.937 3.990
V 0.000 1.937 7.821
V 1.630 0.000 3.990
V 1.630 0.000 7.821
V 1.630 1.937 1.915
V 1.630 1.937 9.896
Ni 0.000 0.000 5.906
Ni 0.000 1.937 0.000
Ni 1.630 0.000 0.000
Ni 1.630 1.937 5.906
```

***

Entry 3:
VNi after structural relaxation. Source: Alexandria, functional GGA-PBE.

Summary:
Space-group type: No. 217

```
16
Lattice="7.145 0.000 0.000 0.000 7.145 0.000 0.000 0.000 7.145" Properties=species:S:1:pos:R:3 pbc="T T T"
V 0.979 0.979 0.979
V 0.979 6.166 6.166
V 2.594 2.594 4.552
V 2.594 4.552 2.594
V 4.552 2.594 2.594
V 4.552 4.552 4.552
V 6.166 0.979 6.166
V 6.166 6.166 0.979
Ni 1.268 1.268 5.877
Ni 1.268 5.877 1.268
Ni 2.305 2.305 2.305
Ni 2.305 4.840 4.840
Ni 4.840 2.305 4.840
Ni 4.840 4.840 2.305
Ni 5.877 1.268 1.268
Ni 5.877 5.877 5.877
```

***

Entry 4:
V3Ni8 after structural relaxation. Source: Alexandria, functional GGA-PBE.

Summary:
Space-group type: No. 148

```
11
Lattice="3.863 2.230 2.757 -3.863 2.230 2.757 0.000 -4.460 2.757" Properties=species:S:1:pos:R:3 pbc="T T T"
V -1.931 -1.115 2.757
V -1.931 1.115 5.513
V 0.000 2.230 2.757
Ni -3.241 -0.866 4.580
Ni -0.870 -3.240 3.689
Ni -2.370 2.374 3.689
Ni 0.000 0.000 2.974
Ni 0.000 0.000 5.295
Ni 2.370 -2.374 4.580
Ni 0.870 3.240 4.580
Ni 3.241 0.866 3.689
```

***

Entry 5:
VNi5 after structural relaxation. Source: Alexandria, functional GGA-PBE.

Summary:
Space-group type: No. 12

```
12
Lattice="7.971 0.000 0.000 0.000 3.506 0.000 -1.619 0.000 4.759" Properties=species:S:1:pos:R:3 pbc="T T T"
V 0.000 0.000 0.000
V 3.985 1.753 0.000
Ni -0.809 0.000 2.380
Ni 0.774 1.753 1.572
Ni -0.029 1.753 3.951
Ni 2.396 0.000 0.808
Ni 1.593 0.000 3.188
Ni 3.176 1.753 2.380
Ni 4.759 0.000 1.572
Ni 3.956 0.000 3.951
Ni 6.381 1.753 0.808
Ni 5.578 1.753 3.188
```

***

Entry 6:
VNi after structural relaxation. Source: Alexandria, functional GGA-PBE.

Summary:
Space-group type: No. 166

```
6
Lattice="2.555 0.000 0.000 -1.277 2.212 0.000 0.000 0.000 12.831" Properties=species:S:1:pos:R:3 pbc="T T T"
V 0.000 0.000 0.000
V 0.000 1.475 8.554
V 1.277 0.737 4.277
Ni 0.000 0.000 6.415
Ni 0.000 1.475 2.138
Ni 1.277 0.737 10.692
```

***

Entry 7:
VNi2 after structural relaxation. Source: Alexandria, functional GGA-PBE.

Summary:
Space-group type: No. 71

```
6
Lattice="2.535 0.000 0.000 0.000 3.564 0.000 0.000 0.000 7.618" Properties=species:S:1:pos:R:3 pbc="T T T"
V 0.000 0.000 0.000
V 1.267 1.782 3.809
Ni 0.000 0.000 2.530
Ni 0.000 0.000 5.088
Ni 1.267 1.782 1.279
Ni 1.267 1.782 6.339
```

***

Entry 8:
VNi after structural relaxation. Source: Alexandria, functional GGA-PBE.

Summary:
Space-group type: No. 87

```
16
Lattice="9.135 0.000 0.000 0.000 9.135 0.000 0.000 0.000 2.466" Properties=species:S:1:pos:R:3 pbc="T T T"
V 0.994 5.934 0.000
V 1.366 3.574 1.233
V 3.202 0.994 0.000
V 3.574 7.769 1.233
V 5.562 1.366 1.233
V 5.934 8.141 0.000
V 7.769 5.562 1.233
V 8.141 3.202 0.000
Ni 0.813 1.483 0.000
Ni 1.483 8.322 0.000
Ni 3.085 5.381 1.233
Ni 3.755 3.085 1.233
Ni 5.381 6.051 1.233
Ni 6.051 3.755 1.233
Ni 7.652 0.813 0.000
Ni 8.322 7.652 0.000
```

***

Entry 9:
VNi after structural relaxation. Source: Alexandria, functional GGA-PBE.

Summary:
Space-group type: No. 194

```
4
Lattice="3.966 0.000 0.000 -1.983 3.434 0.000 0.000 0.000 4.732" Properties=species:S:1:pos:R:3 pbc="T T T"
V 0.000 2.290 1.183
V 1.983 1.145 3.549
Ni 0.000 2.290 3.549
Ni 1.983 1.145 1.183
```

***

Entry 10:
VNi2 after structural relaxation. Source: Alexandria, functional GGA-PBE.

Summary:
Space-group type: No. 225

```
12
Lattice="5.473 0.000 0.000 0.000 5.473 0.000 0.000 0.000 5.473" Properties=species:S:1:pos:R:3 pbc="T T T"
V 0.000 0.000 0.000
V 0.000 2.737 2.737
V 2.737 0.000 2.737
V 2.737 2.737 0.000
Ni 1.368 1.368 1.368
Ni 1.368 1.368 4.105
Ni 1.368 4.105 1.368
Ni 1.368 4.105 4.105
Ni 4.105 1.368 1.368
Ni 4.105 1.368 4.105
Ni 4.105 4.105 1.368
Ni 4.105 4.105 4.105
```

***

Entry 11:
V2Ni13 after structural relaxation. Source: Alexandria, functional GGA-PBE.

Summary:
Space-group type: No. 2

```
15
Lattice="4.333 0.000 0.000 0.029 6.106 0.000 0.738 2.023 6.252" Properties=species:S:1:pos:R:3 pbc="T T T"
V 1.104 3.070 1.876
V 3.996 5.059 4.376
Ni 0.369 1.011 3.126
Ni 0.369 1.031 0.648
Ni 1.098 3.055 4.384
Ni 1.836 5.076 5.614
Ni 1.827 5.088 3.098
Ni 1.823 5.074 0.617
Ni 2.577 7.102 4.379
Ni 2.523 1.026 1.873
Ni 3.277 3.055 5.635
Ni 3.272 3.040 3.154
Ni 3.264 3.053 0.638
Ni 4.002 5.073 1.868
Ni 4.731 7.098 5.604
```

***

Entry 12:
VNi6W after structural relaxation. Source: Alexandria, functional GGA-PBE.

Summary:
Space-group type: No. 25
ΔE to the lowest computed polymorph: 0 meV/atom

```
8
Lattice="4.185 0.000 0.000 0.000 5.009 0.000 0.000 0.000 4.436" Properties=species:S:1:pos:R:3 pbc="T T T"
V 0.000 0.000 0.000
Ni 0.000 1.243 2.183
Ni 0.000 2.505 4.366
Ni 0.000 3.766 2.183
Ni 2.093 0.000 1.398
Ni 2.093 1.235 3.606
Ni 2.093 3.774 3.606
W 2.093 2.505 1.360
```

***

Number 1: size of the total moment 0.4 μB/f.u., ΔE_f 296 meV per atom. Number 2: size of the total moment 0.0 μB/f.u., ΔE_f -135 meV per atom. Number 3: size of the total moment 0.0 μB/f.u., ΔE_f 1307 meV per atom. Number 4: size of the total moment 0.0 μB/f.u., ΔE_f 431 meV per atom. Number 5: size of the total moment 0.0 μB/f.u., ΔE_f -164 meV per atom. Number 6: size of the total moment 0.0 μB/f.u., ΔE_f -23 meV per atom. Number 7: size of the total moment 0.0 μB/f.u., ΔE_f -242 meV per atom. Number 8: size of the total moment 0.0 μB/f.u., ΔE_f 190 meV per atom. Number 9: size of the total moment 0.0 μB/f.u., ΔE_f 823 meV per atom. Number 10: size of the total moment 0.0 μB/f.u., ΔE_f 377 meV per atom. Number 11: size of the total moment 0.0 μB/f.u., ΔE_f -125 meV per atom. Number 12: size of the total moment 0.0 μB/f.u., ΔE_f -178 meV per atom.